# 1
This record from Alexandria via LeMat-Bulk describes a relaxed structure of Rb2DyNpS4. The functional is PBE.

Its crystal system is monoclinic. Its space group is P2/m, No. 10. The energy relative to the elements, uncorrected is -1.60 eV/atom.

The structure in extended XYZ format:
```
8
Lattice="7.131 0.000 0.000 0.000 4.110 0.000 -2.384 0.000 7.677" Properties=species:S:1:pos:R:3 pbc="T T T"
Rb 0.000 0.000 0.000
Rb 3.565 2.055 0.000
Dy -1.192 2.055 3.838
Np 2.373 0.000 3.838
S -0.029 0.000 5.316
S 1.174 2.055 2.374
S 3.573 2.055 5.303
S 4.776 0.000 2.361
```



# 2
This record from Alexandria via LeMat-Bulk describes a relaxed structure of Ho2Zn6Au3. The functional is PBE.

The formation energy is -0.403 eV/atom. Its crystal system is hexagonal. Its space group is P-62m, No. 189.

The structure in extended XYZ format:
```
11
Lattice="7.688 0.000 0.000 -3.844 6.658 0.000 0.000 0.000 4.113" Properties=species:S:1:pos:R:3 pbc="T T T"
Ho 0.000 4.439 0.000
Ho 3.844 2.219 0.000
Zn -0.740 1.282 0.000
Zn -2.838 4.916 2.057
Zn 1.480 0.000 0.000
Zn 1.006 1.742 2.057
Zn 5.676 0.000 2.057
Zn 3.104 5.376 0.000
Au -1.560 2.701 2.057
Au 3.119 0.000 2.057
Au 2.284 3.957 2.057
```



no.,Fermi-level density of states (states/eV/atom)
1,1.00
2,0.59